1.
## SrPr2NdAs4 (PBE)

Data for an optimized crystal structure of SrPr2NdAs4.

Calculated values
DOS(E_F): 4.6 states/eV/f.u.
ΔE_f: -1333 meV/atom
Volume: 28.89 Å³ per atom
Crystal system: monoclinic

The structure in CIF format:
```
data_SrPr2NdAs4
_space_group_name_H-M_alt 'P 1 2/m 1'
_space_group_IT_number 10
_space_group_name_Hall '-P 2y'
_cell_length_a 7.5181
_cell_length_b 4.3298
_cell_length_c 7.5298
_cell_angle_alpha 90.00
_cell_angle_beta 109.44
_cell_angle_gamma 90.00
loop_
_atom_site_label
_atom_site_fract_x
_atom_site_fract_y
_atom_site_fract_z
_atom_site_occupancy
Sr1 0.0000 0.0000 0.0000 1
Pr1 0.5000 0.0000 0.5000 1
Pr2 0.5000 0.5000 0.0000 1
Nd1 0.0000 0.5000 0.5000 1
As1 0.2523 0.0000 0.7449 1
As2 0.2581 0.5000 0.2596 1
```

2.
## Tb3Pr2NdAs6 (PBE)

Data for an optimized crystal structure of Tb3Pr2NdAs6.

Calculated values
DOS(E_F): 1.8 states/eV/f.u.
ΔE_f: -1517 meV/atom
Volume: 26.53 Å³ per atom
Crystal system: monoclinic

The structure in CIF format:
```
data_Tb3Pr2NdAs6
_space_group_name_H-M_alt 'C 1 2/m 1'
_space_group_IT_number 12
_space_group_name_Hall '-C 2y'
_cell_length_a 18.3799
_cell_length_b 4.2201
_cell_length_c 8.4336
_cell_angle_alpha 90.00
_cell_angle_beta 103.23
_cell_angle_gamma 90.00
loop_
_atom_site_label
_atom_site_fract_x
_atom_site_fract_y
_atom_site_fract_z
_atom_site_occupancy
Tb1 0.0000 0.0000 0.0000 1
Tb2 0.1667 0.5000 0.3334 1
Pr1 0.1665 0.5000 0.8330 1
Nd1 0.0000 0.0000 0.5000 1
As1 0.0024 0.5000 0.2458 1
As2 0.1644 0.0000 0.0890 1
As3 0.1684 0.0000 0.5773 1
```

3.
## Tb2PrNd3As6 (PBE)

Data for an optimized crystal structure of Tb2PrNd3As6.

Calculated values
DOS(E_F): 1.6 states/eV/f.u.
ΔE_f: -1513 meV/atom
Volume: 26.86 Å³ per atom
Crystal system: monoclinic

The structure in CIF format:
```
data_Tb2PrNd3As6
_space_group_name_H-M_alt 'C 1 2/m 1'
_space_group_IT_number 12
_space_group_name_Hall '-C 2y'
_cell_length_a 7.3362
_cell_length_b 12.7048
_cell_length_c 7.3355
_cell_angle_alpha 90.00
_cell_angle_beta 109.46
_cell_angle_gamma 90.00
loop_
_atom_site_label
_atom_site_fract_x
_atom_site_fract_y
_atom_site_fract_z
_atom_site_occupancy
Tb1 0.0000 0.1670 0.0000 1
Pr1 0.0000 0.5000 0.0000 1
Nd1 0.0000 0.0000 0.5000 1
Nd2 0.0000 0.3345 0.5000 1
As1 0.2428 0.0000 0.2447 1
As2 0.2487 0.1694 0.7544 1
```

4.
## Tb3PrNd2As6 (PBE)

Data for an optimized crystal structure of Tb3PrNd2As6.

Calculated values
DOS(E_F): 1.8 states/eV/f.u.
ΔE_f: -1520 meV/atom
Volume: 26.42 Å³ per atom
Crystal system: monoclinic

The structure in CIF format:
```
data_Tb3PrNd2As6
_space_group_name_H-M_alt 'C 1 2/m 1'
_space_group_IT_number 12
_space_group_name_Hall '-C 2y'
_cell_length_a 18.3542
_cell_length_b 4.2144
_cell_length_c 8.4208
_cell_angle_alpha 90.00
_cell_angle_beta 103.23
_cell_angle_gamma 90.00
loop_
_atom_site_label
_atom_site_fract_x
_atom_site_fract_y
_atom_site_fract_z
_atom_site_occupancy
Tb1 0.0000 0.0000 0.0000 1
Tb2 0.1666 0.5000 0.3330 1
Pr1 0.0000 0.0000 0.5000 1
Nd1 0.1668 0.5000 0.8335 1
As1 0.0017 0.5000 0.2440 1
As2 0.1649 0.0000 0.0877 1
As3 0.1690 0.0000 0.5790 1
```